The following is a DFT calculation (GGA-PBEsol) of an optimized crystal structure of Y2ZnCuOs.

The structure in POSCAR format:
```
Y2ZnCuOs
1.0
5.183 0.000 0.000
0.000 5.183 0.000
0.000 0.000 4.446
Y Zn Cu Os
2 1 1 1
direct
0.000 0.500 0.000
0.500 0.000 0.000
0.000 0.000 0.000
0.500 0.500 0.500
0.000 0.000 0.500
```

Symmetry ... P4/mmm
M_tot ... 0.00 μB per formula unit
Energy of formation from the pure elements ... 0.820 eV/atom